The following is a DFT calculation (PBE) of a relaxed Nb2ZnSeS crystal.

abc: 4.919 4.194 4.919
angles: 90.00 90.00 90.00
Sites, in units of the cell vectors:
Zn 0.000 0.000 0.000
Nb 0.000 0.000 0.500
Nb 0.500 0.000 0.000
S 0.000 0.500 0.000
Se 0.500 0.500 0.500

Values from the calculation:
The total moment comes out at 0.0 μB per formula unit. The value obtained for the formation energy (no corrections) is 0.96 eV/atom. The value obtained for the total energy is -4.8474 eV per atom. The space group is No. 123.


The following is a DFT calculation (PBE) of a relaxed Nb4SiS crystal.

abc: 5.828 6.307 6.845
angles: 113.17 110.66 99.10
Sites, in units of the cell vectors:
Nb 0.180 0.320 0.372
Nb 0.692 0.052 0.372
Nb 0.308 0.948 0.628
Nb 0.652 0.380 0.130
Nb 0.820 0.680 0.628
Nb 0.978 0.750 0.130
Nb 0.022 0.250 0.870
Nb 0.348 0.620 0.870
S 0.742 0.992 0.984
S 0.258 0.008 0.016
Si 0.393 0.643 0.285
Si 0.607 0.357 0.715

Values from the calculation:
The total moment comes out at 0.0 μB per formula unit. The value obtained for the formation energy (no corrections) is -0.36 eV/atom. The value obtained for the total energy is -8.6652 eV per atom. The space group is No. 15.


The following is a DFT calculation (PBE) of a relaxed Nb2Si2S crystal.

abc: 6.812 6.812 3.539
angles: 90.00 90.00 90.00
Sites, in units of the cell vectors:
Nb 0.833 0.667 0.000
Nb 0.667 0.167 0.000
Nb 0.333 0.833 0.000
Nb 0.167 0.333 0.000
Si 0.874 0.374 0.500
Si 0.126 0.626 0.500
Si 0.626 0.874 0.500
Si 0.374 0.126 0.500
S 0.500 0.500 0.000
S 0.000 0.000 0.000

Values from the calculation:
The total moment comes out at 0.0 μB per formula unit. The value obtained for the formation energy (no corrections) is -0.43 eV/atom. The value obtained for the total energy is -7.4493 eV per atom. The space group is No. 127.


The following is a DFT calculation (PBE) of a relaxed Nb2SiS6 crystal.

abc: 3.328 7.109 8.972
angles: 81.15 79.31 76.47
Sites, in units of the cell vectors:
S 0.329 0.807 0.535
S 0.985 0.809 0.221
S 0.671 0.193 0.465
S 0.015 0.191 0.779
S 0.805 0.265 0.126
S 0.195 0.735 0.874
Nb 0.324 0.062 0.290
Nb 0.676 0.938 0.710
Si 0.000 0.000 0.000

Values from the calculation:
The total moment comes out at 0.0 μB per formula unit. The value obtained for the formation energy (no corrections) is -0.73 eV/atom. The value obtained for the total energy is -6.3232 eV per atom. The space group is No. 12.


The following is a DFT calculation (PBE) of a relaxed NbSiS crystal.

abc: 3.141 3.141 13.443
angles: 103.33 110.49 59.99
Sites, in units of the cell vectors:
Nb 0.403 0.957 0.459
Nb 0.753 0.804 0.973
Si 0.308 0.191 0.139
Si 0.852 0.572 0.296
S 0.910 0.332 0.588
S 0.912 0.096 0.844

Values from the calculation:
The total moment comes out at 0.0 μB per formula unit. The value obtained for the formation energy (no corrections) is -0.52 eV/atom. The value obtained for the total energy is -7.0606 eV per atom. The space group is No. 8.


The following is a DFT calculation (PBE) of a relaxed Nb3SiS crystal.

abc: 4.543 4.543 4.543
angles: 90.00 90.00 90.00
Sites, in units of the cell vectors:
Nb 0.000 0.000 0.500
Nb 0.500 0.000 0.000
Nb 0.000 0.500 0.000
S 0.000 0.000 0.000
Si 0.500 0.500 0.500

Values from the calculation:
The total moment comes out at 0.0 μB per formula unit. The energy above the most stable polymorph in this dataset is 0 meV/atom. The value obtained for the formation energy (no corrections) is 0.21 eV/atom. The value obtained for the total energy is -7.7437 eV per atom. The space group is No. 221.


The following is a DFT calculation (PBE) of a relaxed NbSi2S6 crystal.

abc: 6.201 8.051 8.051
angles: 84.96 81.33 81.33
Sites, in units of the cell vectors:
S 0.376 0.037 0.186
S 0.647 0.603 0.123
S 0.379 0.709 0.556
S 0.353 0.397 0.877
S 0.124 0.814 0.963
S 0.621 0.291 0.444
S 0.147 0.123 0.603
S 0.853 0.877 0.397
S 0.876 0.186 0.037
S 0.121 0.444 0.291
S 0.879 0.556 0.709
S 0.624 0.963 0.814
Si 0.172 0.626 0.778
Si 0.328 0.222 0.374
Si 0.672 0.778 0.626
Si 0.828 0.374 0.222
Nb 0.250 0.128 0.872
Nb 0.750 0.872 0.128

Values from the calculation:
The total moment comes out at 1.0 μB per formula unit. The value obtained for the formation energy (no corrections) is -0.60 eV/atom. The value obtained for the total energy is -5.6725 eV per atom. The space group is No. 15.


The following is a DFT calculation (PBE) of a relaxed NbSiS4 crystal.

abc: 5.985 5.982 11.424
angles: 90.00 90.00 90.00
Sites, in units of the cell vectors:
S 0.770 0.199 0.395
S 0.770 0.801 0.605
S 0.230 0.199 0.605
S 0.230 0.801 0.395
S 0.801 0.730 0.105
S 0.199 0.730 0.895
S 0.801 0.270 0.895
S 0.199 0.270 0.105
Nb 0.000 0.000 0.000
Nb 0.500 0.000 0.500
Si 0.000 0.500 0.000
Si 0.000 0.000 0.500

Values from the calculation:
The total moment comes out at 0.2 μB per formula unit. The value obtained for the formation energy (no corrections) is -0.63 eV/atom. The value obtained for the total energy is -5.9618 eV per atom. The space group is No. 16.


The following is a DFT calculation (PBE) of a relaxed NbSi2S2 crystal.

abc: 3.276 3.276 8.342
angles: 78.68 78.68 90.00
Sites, in units of the cell vectors:
S 0.587 0.587 0.827
S 0.413 0.413 0.173
Si 0.750 0.250 0.500
Si 0.250 0.750 0.500
Nb 0.000 0.000 0.000

Values from the calculation:
The total moment comes out at 0.0 μB per formula unit. The energy above the most stable polymorph in this dataset is 0 meV/atom. The value obtained for the formation energy (no corrections) is -0.04 eV/atom. The value obtained for the total energy is -5.8693 eV per atom. The space group is No. 139.


The following is a DFT calculation (PBE) of a relaxed NbSi2S8 crystal.

abc: 5.927 7.709 7.709
angles: 104.30 79.58 79.58
Sites, in units of the cell vectors:
S 0.358 0.773 0.773
S 0.180 0.462 0.462
S 0.825 0.015 0.736
S 0.175 0.264 0.985
S 0.642 0.227 0.227
S 0.825 0.736 0.015
S 0.175 0.985 0.264
S 0.820 0.538 0.538
Si 0.708 0.783 0.783
Si 0.292 0.217 0.217
Nb 0.000 0.000 0.000

Values from the calculation:
The total moment comes out at 0.5 μB per formula unit. The value obtained for the formation energy (no corrections) is -0.44 eV/atom. The value obtained for the total energy is -5.3386 eV per atom. The space group is No. 12.


The following is a DFT calculation (PBE) of a relaxed NbSi2S2 crystal.

abc: 7.144 7.144 3.271
angles: 90.00 90.00 90.00
Sites, in units of the cell vectors:
Si 0.704 0.796 0.500
Si 0.296 0.204 0.500
Si 0.796 0.296 0.500
Si 0.204 0.704 0.500
S 0.855 0.645 0.000
S 0.355 0.855 0.000
S 0.645 0.145 0.000
S 0.145 0.355 0.000
Nb 0.500 0.500 0.000
Nb 0.000 0.000 0.000

Values from the calculation:
The total moment comes out at 0.0 μB per formula unit. The energy above the most stable polymorph in this dataset is 119 meV/atom. The value obtained for the formation energy (no corrections) is 0.08 eV/atom. The value obtained for the total energy is -5.7500 eV per atom. The space group is No. 127.


The following is a DFT calculation (PBE) of a relaxed SrNbSi2S8 crystal.

abc: 6.058 6.058 8.502
angles: 90.00 90.00 120.00
Sites, in units of the cell vectors:
S 0.323 0.330 0.328
S 0.993 0.323 0.672
S 0.007 0.677 0.328
S 0.667 0.333 0.014
S 0.677 0.670 0.672
S 0.670 0.993 0.328
S 0.330 0.007 0.672
S 0.333 0.667 0.986
Si 0.333 0.667 0.738
Si 0.667 0.333 0.262
Nb 0.000 0.000 0.500
Sr 0.000 0.000 0.000

Values from the calculation:
The total moment comes out at 0.3 μB per formula unit. The value obtained for the formation energy (no corrections) is -0.74 eV/atom. The value obtained for the total energy is -5.3738 eV per atom. The space group is No. 147.